1.
# Pm5PrSmDy2 PBE-GGA optimized geometry
data_Pm5PrSmDy2
_space_group_name_H-M_alt 'C m c 21'
_space_group_IT_number 36
_space_group_name_Hall 'C 2c -2'
_cell_length_a 5.7163
_cell_length_b 20.3732
_cell_length_c 10.6742
_cell_angle_alpha 90.00
_cell_angle_beta 90.00
_cell_angle_gamma 90.00
loop_
_atom_site_label
_atom_site_type_symbol
_atom_site_fract_x
_atom_site_fract_y
_atom_site_fract_z
Pm1 Pm 0.0000 0.0167 0.0000
Pm2 Pm 0.0000 0.2805 0.2875
Pm3 Pm 0.0000 0.2970 0.6826
Pm4 Pm 0.0000 0.3900 0.0014
Pm5 Pm 0.0000 0.4778 0.7159
Pr1 Pr 0.0000 0.4141 0.4264
Sm1 Sm 0.0000 0.2006 0.9871
Dy1 Dy 0.0000 0.1127 0.7092
Dy2 Dy 0.0000 0.1166 0.2984
# Density of states at the Fermi level in states/eV/f.u.: 14.03
# Spin magnetization in Bohr magnetons per cell: 0.00
# Energy of formation from the pure elements in meV per atom: 148
# Calculated total energy in eV/atom: -4.569

2.
# SiPt2S PBE-GGA optimized geometry
data_SiPt2S
_space_group_name_H-M_alt 'F m -3 m'
_space_group_IT_number 225
_space_group_name_Hall '-F 4 2 3'
_cell_length_a 6.2122
_cell_length_b 6.2122
_cell_length_c 6.2122
_cell_angle_alpha 90.00
_cell_angle_beta 90.00
_cell_angle_gamma 90.00
loop_
_atom_site_label
_atom_site_type_symbol
_atom_site_fract_x
_atom_site_fract_y
_atom_site_fract_z
Si1 Si 0.0000 0.0000 0.0000
Pt1 Pt 0.2500 0.2500 0.2500
S1 S 0.0000 0.0000 0.5000
# Density of states at the Fermi level in states/eV/f.u.: 0.68
# Spin magnetization in Bohr magnetons per cell: 0.00
# Distance to the lowest polymorph of the same formula in meV/atom: 293.1
# Calculated total energy in eV/atom: -5.347

3.
# MnCoOs2 PBE-GGA optimized geometry
data_MnCoOs2
_space_group_name_H-M_alt 'I m m 2'
_space_group_IT_number 44
_space_group_name_Hall 'I 2 -2'
_cell_length_a 2.9299
_cell_length_b 4.2183
_cell_length_c 8.4101
_cell_angle_alpha 90.00
_cell_angle_beta 90.00
_cell_angle_gamma 90.00
loop_
_atom_site_label
_atom_site_type_symbol
_atom_site_fract_x
_atom_site_fract_y
_atom_site_fract_z
Mn1 Mn 0.0000 0.0000 0.0000
Co1 Co 0.0000 0.5000 0.2763
Os1 Os 0.0000 0.0000 0.5176
Os2 Os 0.0000 0.5000 0.7491
# Density of states at the Fermi level in states/eV/f.u.: 4.20
# Spin magnetization in Bohr magnetons per cell: 8.48
# Distance to the lowest polymorph of the same formula in meV/atom: 146.0
# Energy of formation from the pure elements in meV per atom: 210
# Calculated total energy in eV/atom: -9.473

4.
# TmMn6Ge6 PBE-GGA optimized geometry
data_TmMn6Ge6
_space_group_name_H-M_alt 'P 6/m m m'
_space_group_IT_number 191
_space_group_name_Hall '-P 6 2'
_cell_length_a 5.1537
_cell_length_b 5.1537
_cell_length_c 8.1439
_cell_angle_alpha 90.00
_cell_angle_beta 90.00
_cell_angle_gamma 120.00
loop_
_atom_site_label
_atom_site_type_symbol
_atom_site_fract_x
_atom_site_fract_y
_atom_site_fract_z
Tm1 Tm 0.0000 0.0000 0.0000
Mn1 Mn 0.0000 0.5000 0.2503
Ge1 Ge 0.0000 0.0000 0.3434
Ge2 Ge 0.3333 0.6667 0.0000
Ge3 Ge 0.3333 0.6667 0.5000
# Density of states at the Fermi level in states/eV/f.u.: 6.11
# Spin magnetization in Bohr magnetons per cell: 11.77
# Distance to the lowest polymorph of the same formula in meV/atom: 0.0
# Energy of formation from the pure elements in meV per atom: -318
# Calculated total energy in eV/atom: -7.025